(1)
Density functional theory data (PBE) for a geometry-optimized LiTbCeGd structure.

It has space group F-43m (No. 216), with a = 7.6608 Å, b = 7.6608 Å, c = 7.6608 Å, α = 90.00°, β = 90.00° and γ = 90.00°. The inequivalent atoms are Li at (0.0000, 0.0000, 0.0000), Tb at (0.2500, 0.2500, 0.2500), Ce at (0.0000, 0.0000, 0.5000) and Gd at (0.2500, 0.2500, 0.7500).

The magnetization is 10.4 μB per formula unit. The crystal system is cubic. For the raw total energy, the calculation gives -25.49 eV per formula unit.


(2)
Density functional theory data (PBE) for a geometry-optimized LiCeGdTc structure.

It has space group F-43m (No. 216), with a = 7.0195 Å, b = 7.0195 Å, c = 7.0195 Å, α = 90.00°, β = 90.00° and γ = 90.00°. The inequivalent atoms are Li at (0.0000, 0.0000, 0.0000), Ce at (0.2500, 0.2500, 0.7500), Gd at (0.2500, 0.2500, 0.2500) and Tc at (0.0000, 0.0000, 0.5000).

The magnetization is 6.6 μB per formula unit. The crystal system is cubic. For the raw total energy, the calculation gives -32.22 eV per formula unit.


(3)
Density functional theory data (PBE) for a geometry-optimized LiCeGdTl structure.

It has space group F-43m (No. 216), with a = 7.6165 Å, b = 7.6165 Å, c = 7.6165 Å, α = 90.00°, β = 90.00° and γ = 90.00°. The inequivalent atoms are Li at (0.0000, 0.0000, 0.0000), Ce at (0.2500, 0.2500, 0.7500), Gd at (0.2500, 0.2500, 0.2500) and Tl at (0.0000, 0.0000, 0.5000).

The magnetization is 7.1 μB per formula unit. The crystal system is cubic. For the raw total energy, the calculation gives -24.66 eV per formula unit.


(4)
Density functional theory data (PBE) for a geometry-optimized CeGdLu structure.

It has space group I4mm (No. 107), with a = 3.5102 Å, b = 3.5102 Å, c = 14.7219 Å, α = 90.00°, β = 90.00° and γ = 90.00°. The inequivalent atoms are Ce at (0.0000, 0.0000, 0.0000), Gd at (0.0000, 0.0000, 0.6638) and Lu at (0.0000, 0.0000, 0.3389).

The magnetization is 6.7 μB per formula unit. The crystal system is tetragonal. For the raw total energy, the calculation gives -24.32 eV per formula unit.


(5)
Density functional theory data (PBE) for a geometry-optimized CeGd2Lu structure.

It has space group R-3m (No. 166, hexagonal axes), with a = 3.4427 Å, b = 3.4427 Å, c = 36.5436 Å, α = 90.00°, β = 90.00° and γ = 120.00°. The inequivalent atoms are Ce at (0.0000, 0.0000, 0.0000), Gd at (0.0000, 0.0000, 0.4103) and Lu at (0.0000, 0.0000, 0.5000).

The energy above the lowest structure with this stoichiometry is 0.125 eV per atom. The magnetization is 14.4 μB per formula unit. The crystal system is trigonal. For the raw total energy, the calculation gives -37.80 eV per formula unit.


(6)
Density functional theory data (PBE) for a geometry-optimized CeGd2Lu structure.

It has space group P4/mmm (No. 123), with a = 4.9704 Å, b = 4.9704 Å, c = 5.0094 Å, α = 90.00°, β = 90.00° and γ = 90.00°. The inequivalent atoms are Ce at (0.0000, 0.0000, 0.0000), Gd at (0.0000, 0.5000, 0.5000) and Lu at (0.5000, 0.5000, 0.0000).

The energy above the lowest structure with this stoichiometry is 0.000 eV per atom. The magnetization is 13.9 μB per formula unit. The crystal system is tetragonal. For the raw total energy, the calculation gives -38.30 eV per formula unit.


(7)
Density functional theory data (PBE) for a geometry-optimized CeGd2Lu structure.

It has space group Fm-3m (No. 225), with a = 7.9864 Å, b = 7.9864 Å, c = 7.9864 Å, α = 90.00°, β = 90.00° and γ = 90.00°. The inequivalent atoms are Ce at (0.0000, 0.0000, 0.0000), Gd at (0.2500, 0.2500, 0.2500) and Lu at (0.0000, 0.0000, 0.5000).

The energy above the lowest structure with this stoichiometry is 0.065 eV per atom. The magnetization is 17.4 μB per formula unit. The crystal system is cubic. For the raw total energy, the calculation gives -38.04 eV per formula unit.


(8)
Density functional theory data (PBE) for a geometry-optimized Ce2GdLu structure.

It has space group P4/mmm (No. 123), with a = 3.4658 Å, b = 3.4658 Å, c = 9.9669 Å, α = 90.00°, β = 90.00° and γ = 90.00°. The inequivalent atoms are Ce at (0.0000, 0.0000, 0.2474), Gd at (0.5000, 0.5000, 0.5000) and Lu at (0.5000, 0.5000, 0.0000).

The magnetization is 5.6 μB per formula unit. The crystal system is tetragonal. For the raw total energy, the calculation gives -30.06 eV per formula unit.


(9)
Density functional theory data (PBE) for a geometry-optimized CeGdLuOs structure.

It has space group F-43m (No. 216), with a = 7.2364 Å, b = 7.2364 Å, c = 7.2364 Å, α = 90.00°, β = 90.00° and γ = 90.00°. The inequivalent atoms are Ce at (0.0000, 0.0000, 0.0000), Gd at (0.0000, 0.0000, 0.5000), Lu at (0.2500, 0.2500, 0.2500) and Os at (0.2500, 0.2500, 0.7500).

The magnetization is 7.6 μB per formula unit. The crystal system is cubic. For the raw total energy, the calculation gives -35.23 eV per formula unit.


(10)
Density functional theory data (PBE) for a geometry-optimized CeGdLuPu structure.

It has space group F-43m (No. 216), with a = 7.7819 Å, b = 7.7819 Å, c = 7.7819 Å, α = 90.00°, β = 90.00° and γ = 90.00°. The inequivalent atoms are Ce at (0.0000, 0.0000, 0.0000), Gd at (0.2500, 0.2500, 0.2500), Lu at (0.0000, 0.0000, 0.5000) and Pu at (0.2500, 0.2500, 0.7500).

The magnetization is 1.3 μB per formula unit. The crystal system is cubic. For the raw total energy, the calculation gives -38.09 eV per formula unit.


(11)
Density functional theory data (PBE) for a geometry-optimized CeSmGdLu structure.

It has space group F-43m (No. 216), with a = 7.9903 Å, b = 7.9903 Å, c = 7.9903 Å, α = 90.00°, β = 90.00° and γ = 90.00°. The inequivalent atoms are Ce at (0.0000, 0.0000, 0.0000), Sm at (0.0000, 0.0000, 0.5000), Gd at (0.2500, 0.2500, 0.2500) and Lu at (0.2500, 0.2500, 0.7500).

The magnetization is 6.7 μB per formula unit. The crystal system is cubic. For the raw total energy, the calculation gives -28.62 eV per formula unit.


(12)
Density functional theory data (PBE) for a geometry-optimized Ce2GdMg structure.

It has space group R-3m (No. 166, hexagonal axes), with a = 3.2801 Å, b = 3.2801 Å, c = 37.4960 Å, α = 90.00°, β = 90.00° and γ = 120.00°. The inequivalent atoms are Ce at (0.0000, 0.0000, 0.0880), Gd at (0.0000, 0.0000, 0.5000) and Mg at (0.0000, 0.0000, 0.0000).

The energy above the lowest structure with this stoichiometry is 0.160 eV per atom. The magnetization is 5.8 μB per formula unit. The crystal system is trigonal. For the raw total energy, the calculation gives -26.51 eV per formula unit.


(13)
Density functional theory data (PBE) for a geometry-optimized Ce2GdMg structure.

It has space group Fm-3m (No. 225), with a = 7.8104 Å, b = 7.8104 Å, c = 7.8104 Å, α = 90.00°, β = 90.00° and γ = 90.00°. The inequivalent atoms are Ce at (0.2500, 0.2500, 0.2500), Gd at (0.0000, 0.0000, 0.0000) and Mg at (0.0000, 0.0000, 0.5000).

The energy above the lowest structure with this stoichiometry is 0.067 eV per atom. The magnetization is 9.7 μB per formula unit. The crystal system is cubic. For the raw total energy, the calculation gives -26.88 eV per formula unit.


(14)
Density functional theory data (PBE) for a geometry-optimized CeGdMg2 structure.

It has space group P4/mmm (No. 123), with a = 5.4546 Å, b = 5.4546 Å, c = 3.7699 Å, α = 90.00°, β = 90.00° and γ = 90.00°. The inequivalent atoms are Ce at (0.0000, 0.0000, 0.0000), Gd at (0.5000, 0.5000, 0.0000) and Mg at (0.0000, 0.5000, 0.5000).

The energy above the lowest structure with this stoichiometry is 0.000 eV per atom. The magnetization is 6.3 μB per formula unit. The crystal system is tetragonal. For the raw total energy, the calculation gives -23.25 eV per formula unit.


(15)
Density functional theory data (PBE) for a geometry-optimized CeGdMg2 structure.

It has space group Fm-3m (No. 225), with a = 7.6601 Å, b = 7.6601 Å, c = 7.6601 Å, α = 90.00°, β = 90.00° and γ = 90.00°. The inequivalent atoms are Ce at (0.0000, 0.0000, 0.0000), Gd at (0.0000, 0.0000, 0.5000) and Mg at (0.2500, 0.2500, 0.2500).

The energy above the lowest structure with this stoichiometry is 0.007 eV per atom. The magnetization is 8.7 μB per formula unit. The crystal system is cubic. For the raw total energy, the calculation gives -23.23 eV per formula unit.